Record 1
Pu2In3Ag | PBE | optimized geometry

The structure in POSCAR format:
```
Pu2In3Ag
1.0
6.099 0.000 0.000
-3.049 5.282 0.000
0.000 0.000 9.093
In Pu Ag
6 4 2
direct
0.170 0.830 0.250 In
0.830 0.170 0.750 In
0.660 0.830 0.250 In
0.830 0.660 0.750 In
0.170 0.340 0.250 In
0.340 0.170 0.750 In
0.333 0.667 0.925 Pu
0.333 0.667 0.575 Pu
0.667 0.333 0.075 Pu
0.667 0.333 0.425 Pu
0.000 0.000 0.500 Ag
0.000 0.000 0.000 Ag
```

Results
**Space-group type**: P6_3/mmc, No. 194
**ΔH_f (0 K)**: -13.7 kJ per mole of atoms
**DOS(E_F)**: 34.14 states/eV/cell
**Magnetic moment**: 23.321 μB/cell


Record 2
Pr3Ge3Au8 | PBE | optimized geometry

The structure in POSCAR format:
```
Pr3Ge3Au8
1.0
-2.278 -0.864 4.049
6.051 0.734 6.318
0.018 7.313 4.328
Ge Pr Au
3 3 8
direct
0.000 0.500 0.500 Ge
0.335 0.312 0.019 Ge
0.665 0.688 0.981 Ge
0.296 0.713 0.694 Pr
0.000 0.000 0.000 Pr
0.704 0.287 0.306 Pr
0.349 0.024 0.278 Au
0.506 0.671 0.316 Au
0.133 0.158 0.577 Au
0.144 0.576 0.136 Au
0.494 0.329 0.684 Au
0.867 0.842 0.423 Au
0.651 0.976 0.722 Au
0.856 0.424 0.864 Au
```

Results
**Space-group type**: C2/m, No. 12
**ΔH_f (0 K)**: -55.8 kJ per mole of atoms
**DOS(E_F)**: 5.26 states/eV/cell
**Magnetic moment**: 0.000 μB/cell


Record 3
EuYCu | PBE | optimized geometry

The structure in POSCAR format:
```
EuYCu
1.0
3.591 0.000 0.000
0.000 3.591 0.000
-1.796 -1.796 6.392
Cu Y Eu
1 1 1
direct
0.680 0.680 0.359 Cu
0.295 0.295 0.589 Y
0.026 0.026 0.051 Eu
```

Results
**Space-group type**: I4mm, No. 107
**ΔH_f (0 K)**: -8.2 kJ per mole of atoms
**DOS(E_F)**: 4.60 states/eV/cell
**Magnetic moment**: 7.224 μB/cell


Record 4
TiAlZn2 | PBE | optimized geometry

The structure in POSCAR format:
```
TiAlZn2
1.0
-1.126 -2.577 0.960
2.514 -1.385 -0.770
2.626 1.225 6.369
Ti Zn Al
1 2 1
direct
0.500 0.500 0.000 Ti
0.000 0.000 0.740 Zn
0.000 0.000 0.260 Zn
0.500 0.500 0.500 Al
```

Results
**Space-group type**: P4/mmm, No. 123
**ΔH_f (0 K)**: -8.8 kJ per mole of atoms
**DOS(E_F)**: 2.39 states/eV/cell
**Magnetic moment**: 0.000 μB/cell


Record 5
SrPmIr | PBE | optimized geometry

The structure in POSCAR format:
```
SrPmIr
1.0
-0.112 6.168 2.649
-3.710 0.741 -1.883
0.103 -1.666 3.883
Sr Ir Pm
1 1 1
direct
0.756 0.667 0.333 Sr
0.022 0.000 0.000 Ir
0.222 0.333 0.667 Pm
```

Results
**Space-group type**: P3m1, No. 156
**ΔH_f (0 K)**: -30.7 kJ per mole of atoms
**DOS(E_F)**: 1.05 states/eV/cell
**Energy above the lowest structure with this stoichiometry**: 0.1099 eV/atom
**Magnetic moment**: 0.000 μB/cell


Record 6
MnSi3Tc | PBE | optimized geometry

The structure in POSCAR format:
```
MnSi3Tc
1.0
-2.332 -2.703 2.979
-1.355 -2.714 -3.524
3.788 -2.635 0.574
Tc Si Mn
1 3 1
direct
0.000 0.000 0.000 Tc
0.000 0.000 0.500 Si
0.000 0.500 0.000 Si
0.500 0.000 0.000 Si
0.500 0.500 0.500 Mn
```

Results
**Space-group type**: Pm-3m, No. 221
**DOS(E_F)**: 2.52 states/eV/cell
**Uncorrected formation energy**: 0.676 eV per atom
**Energy above the lowest structure with this stoichiometry**: 0.0000 eV/atom
**Magnetic moment**: 4.119 μB/cell


Copy entry 5 word for word.
SrPmIr | PBE | optimized geometry

The structure in POSCAR format:
```
SrPmIr
1.0
-0.112 6.168 2.649
-3.710 0.741 -1.883
0.103 -1.666 3.883
Sr Ir Pm
1 1 1
direct
0.756 0.667 0.333 Sr
0.022 0.000 0.000 Ir
0.222 0.333 0.667 Pm
```

Results
**Space-group type**: P3m1, No. 156
**ΔH_f (0 K)**: -30.7 kJ per mole of atoms
**DOS(E_F)**: 1.05 states/eV/cell
**Energy above the lowest structure with this stoichiometry**: 0.1099 eV/atom
**Magnetic moment**: 0.000 μB/cell


Copy entry 3 word for word.
EuYCu | PBE | optimized geometry

The structure in POSCAR format:
```
EuYCu
1.0
3.591 0.000 0.000
0.000 3.591 0.000
-1.796 -1.796 6.392
Cu Y Eu
1 1 1
direct
0.680 0.680 0.359 Cu
0.295 0.295 0.589 Y
0.026 0.026 0.051 Eu
```

Results
**Space-group type**: I4mm, No. 107
**ΔH_f (0 K)**: -8.2 kJ per mole of atoms
**DOS(E_F)**: 4.60 states/eV/cell
**Magnetic moment**: 7.224 μB/cell